(1)
Compound: AlTe2Os
Source: the Alexandria database
Functional: PBE
Structure: optimized geometry Values from VASP.

Summary:
- Formation energy without anion corrections: 0.9 eV per formula unit
- Fermi-level density of states: 0.970 states/eV per atom
- Size of the total moment: 0.00 μB per atom
- Total DFT energy (no corrections): -0.18735 Ha/atom
- Space group: P4mm

Quantum ESPRESSO input file:
```
&SYSTEM
  ibrav = 0, nat = 4, ntyp = 3
/
ATOMIC_SPECIES
Al 26.98 Al.upf
Te 127.60 Te.upf
Os 190.23 Os.upf
CELL_PARAMETERS angstrom
3.3491 0.0000 0.0000
0.0000 3.3491 0.0000
0.0000 0.0000 7.8784
ATOMIC_POSITIONS angstrom
Al 0.0000 0.0000 0.0000
Te 0.0000 0.0000 2.9226
Te 1.6745 1.6745 6.2113
Os 1.6745 1.6745 1.1161
```

***

(2)
Compound: Hf3Co8H
Source: the Alexandria database
Functional: PBE
Structure: optimized geometry Values from VASP.

Summary:
- Fermi-level density of states: 1.288 states/eV per atom
- Size of the total moment: 0.47 μB per atom
- Total DFT energy (no corrections): -0.28229 Ha/atom
- Space group: R3m

Quantum ESPRESSO input file:
```
&SYSTEM
  ibrav = 0, nat = 12, ntyp = 3
/
ATOMIC_SPECIES
Hf 178.49 Hf.upf
Co 58.93 Co.upf
H 1.01 H.upf
CELL_PARAMETERS angstrom
2.4240 1.3995 7.7082
-2.4240 1.3995 7.7082
0.0000 -2.7990 7.7082
ATOMIC_POSITIONS angstrom
Hf 0.0000 0.0000 0.0000
Hf 0.0000 0.0000 3.0270
Hf 0.0000 0.0000 12.0330
Co 0.0000 -1.3829 5.4535
Co -1.1976 0.6914 5.4535
Co -1.1910 -0.6876 9.3340
Co 0.0000 0.0000 7.3698
Co 1.1976 0.6914 5.4534
Co 1.1910 -0.6876 9.3339
Co 0.0000 1.3752 9.3339
Co 0.0000 0.0000 18.9640
H 0.0000 0.0000 16.0888
```

***

(3)
Compound: Al2SiAs
Source: the Alexandria database
Functional: PBE
Structure: optimized geometry Values from VASP.

Summary:
- Formation energy without anion corrections: 0.2 eV per formula unit
- Fermi-level density of states: 0.414 states/eV per atom
- Size of the total moment: 0.00 μB per atom
- Total DFT energy (no corrections): -0.15934 Ha/atom
- Relative energy among the computed polymorphs: 0.22 eV/f.u.
- Space group: R-3m

Quantum ESPRESSO input file:
```
&SYSTEM
  ibrav = 0, nat = 4, ntyp = 3
/
ATOMIC_SPECIES
Al 26.98 Al.upf
Si 28.09 Si.upf
As 74.92 As.upf
CELL_PARAMETERS angstrom
1.8651 1.0768 6.0934
-1.8651 1.0768 6.0934
0.0000 -2.1537 6.0934
ATOMIC_POSITIONS angstrom
Al 0.0000 0.0000 4.5600
Al 0.0000 0.0000 13.7204
Si 0.0000 0.0000 9.1402
As 0.0000 0.0000 0.0000
```

***

(4)
Compound: TaCd2Ni
Source: the Alexandria database
Functional: PBE
Structure: optimized geometry Values from VASP.

Summary:
- Fermi-level density of states: 0.863 states/eV per atom
- Size of the total moment: 0.00 μB per atom
- Total DFT energy (no corrections): -0.17768 Ha/atom
- Relative energy among the computed polymorphs: 0.00 eV/f.u.
- Formation energy from the elements: 12 kJ/mol of formula units
- Space group: Pmm2

Quantum ESPRESSO input file:
```
&SYSTEM
  ibrav = 0, nat = 4, ntyp = 3
/
ATOMIC_SPECIES
Ta 180.95 Ta.upf
Cd 112.41 Cd.upf
Ni 58.69 Ni.upf
CELL_PARAMETERS angstrom
2.9559 0.0000 0.0000
0.0000 3.0136 0.0000
0.0000 0.0000 7.9831
ATOMIC_POSITIONS angstrom
Ta 0.0000 0.0000 0.0000
Cd 0.0000 0.0000 4.6599
Cd 1.4779 1.5068 2.2656
Ni 1.4779 1.5068 6.4964
```

***

(5)
Compound: Zn2MoRh
Source: the Alexandria database
Functional: PBE
Structure: optimized geometry Values from VASP.

Summary:
- Fermi-level density of states: 0.940 states/eV per atom
- Size of the total moment: 0.00 μB per atom
- Total DFT energy (no corrections): -0.18780 Ha/atom
- Relative energy among the computed polymorphs: 0.91 eV/f.u.
- Formation energy from the elements: 28 kJ/mol of formula units
- Space group: P4/mmm

Quantum ESPRESSO input file:
```
&SYSTEM
  ibrav = 0, nat = 4, ntyp = 3
/
ATOMIC_SPECIES
Zn 65.41 Zn.upf
Mo 95.94 Mo.upf
Rh 102.91 Rh.upf
CELL_PARAMETERS angstrom
3.8312 0.0000 0.0000
0.0000 3.8312 0.0000
0.0000 0.0000 3.9898
ATOMIC_POSITIONS angstrom
Zn 0.0000 1.9156 0.0000
Zn 1.9156 0.0000 0.0000
Mo 0.0000 0.0000 1.9949
Rh 1.9156 1.9156 1.9949
```

***

(6)
Compound: CaAsH2S
Source: the Alexandria database
Functional: PBE
Structure: optimized geometry Values from VASP.

Summary:
- Fermi-level density of states: 0.379 states/eV per atom
- Size of the total moment: 0.21 μB per atom
- Total DFT energy (no corrections): -0.12281 Ha/atom
- Space group: P4/mmm

Quantum ESPRESSO input file:
```
&SYSTEM
  ibrav = 0, nat = 5, ntyp = 4
/
ATOMIC_SPECIES
Ca 40.08 Ca.upf
As 74.92 As.upf
H 1.01 H.upf
S 32.06 S.upf
CELL_PARAMETERS angstrom
3.8887 0.0000 0.0000
0.0000 3.8887 0.0000
0.0000 0.0000 5.9588
ATOMIC_POSITIONS angstrom
Ca 0.0000 0.0000 0.0000
As 1.9444 1.9444 0.0000
H 0.0000 1.9444 2.9794
H 1.9444 0.0000 2.9794
S 0.0000 0.0000 2.9794
```

***

(7)
Compound: Ag3Pd5Au
Source: the Alexandria database
Functional: PBE
Structure: optimized geometry Values from VASP.

Summary:
- Fermi-level density of states: 1.179 states/eV per atom
- Size of the total moment: 0.00 μB per atom
- Total DFT energy (no corrections): -0.14112 Ha/atom
- Formation energy from the elements: 312 kJ/mol of formula units
- Space group: I4/mcm

Quantum ESPRESSO input file:
```
&SYSTEM
  ibrav = 0, nat = 18, ntyp = 3
/
ATOMIC_SPECIES
Ag 107.87 Ag.upf
Pd 106.42 Pd.upf
Au 196.97 Au.upf
CELL_PARAMETERS angstrom
-3.8314 3.8314 5.6469
3.8314 -3.8314 5.6469
3.8314 3.8314 -5.6469
ATOMIC_POSITIONS angstrom
Ag 4.6992 0.8678 0.0000
Ag 0.0000 0.0000 2.8235
Ag 0.8678 2.9635 0.0000
Ag 2.9635 0.8678 5.6469
Ag 0.0000 0.0000 8.4704
Ag -0.8678 2.9635 5.6469
Pd 0.0000 0.0000 0.0000
Pd 2.2731 1.5583 -1.5293
Pd 2.2731 -1.5583 4.1176
Pd 2.2731 1.5583 1.5293
Pd 2.2731 -1.5583 7.1763
Pd 0.0000 0.0000 5.6469
Pd 1.5583 5.3897 -1.5293
Pd 1.5583 2.2731 4.1176
Pd 1.5583 5.3897 1.5293
Pd 1.5583 2.2731 7.1763
Au 3.8314 0.0000 2.8235
Au 0.0000 3.8314 2.8235
```

***

(8)
Compound: DyAl2ZnAu4
Source: the Alexandria database
Functional: PBE
Structure: optimized geometry Values from VASP.

Summary:
- Fermi-level density of states: 0.372 states/eV per atom
- Size of the total moment: 0.00 μB per atom
- Total DFT energy (no corrections): -0.14033 Ha/atom
- Formation energy from the elements: -393 kJ/mol of formula units
- Space group: R-3m

Quantum ESPRESSO input file:
```
&SYSTEM
  ibrav = 0, nat = 8, ntyp = 4
/
ATOMIC_SPECIES
Dy 162.50 Dy.upf
Al 26.98 Al.upf
Zn 65.41 Zn.upf
Au 196.97 Au.upf
CELL_PARAMETERS angstrom
2.2148 1.2787 8.7522
-2.2148 1.2787 8.7522
0.0000 -2.5574 8.7522
ATOMIC_POSITIONS angstrom
Dy 0.0000 0.0000 0.0000
Al 0.0000 0.0000 6.3994
Al 0.0000 0.0000 19.8573
Zn 0.0000 0.0000 13.1284
Au 0.0000 0.0000 3.4613
Au 0.0000 0.0000 10.3637
Au 0.0000 0.0000 15.8930
Au 0.0000 0.0000 22.7954
```

***

(9)
Compound: Sc5BeSe4
Source: the Alexandria database
Functional: PBE
Structure: optimized geometry Values from VASP.

Summary:
- Formation energy without anion corrections: -13.0 eV per formula unit
- Fermi-level density of states: 0.308 states/eV per atom
- Size of the total moment: 0.00 μB per atom
- Total DFT energy (no corrections): -0.22893 Ha/atom
- Space group: I4/m

Quantum ESPRESSO input file:
```
&SYSTEM
  ibrav = 0, nat = 10, ntyp = 3
/
ATOMIC_SPECIES
Sc 44.96 Sc.upf
Be 9.01 Be.upf
Se 78.96 Se.upf
CELL_PARAMETERS angstrom
-4.3010 4.3010 2.7146
4.3010 -4.3010 2.7146
4.3010 4.3010 -2.7146
ATOMIC_POSITIONS angstrom
Sc 0.0000 0.0000 0.0000
Sc 5.1122 1.8866 0.0000
Sc 1.8866 3.4898 0.0000
Sc 2.4144 0.8112 2.7146
Sc -0.8112 2.4144 2.7146
Be 0.0000 0.0000 2.7146
Se 2.6106 0.8123 0.0000
Se 3.4887 -1.6904 2.7146
Se 0.8123 5.9914 0.0000
Se 1.6904 3.4887 2.7146
```

***

(10)
Compound: DyMgInCu
Source: the Alexandria database
Functional: PBE
Structure: optimized geometry Values from VASP.

Summary:
- Fermi-level density of states: 0.550 states/eV per atom
- Size of the total moment: 0.00 μB per atom
- Total DFT energy (no corrections): -0.12928 Ha/atom
- Formation energy from the elements: -100 kJ/mol of formula units
- Space group: F-43m

Quantum ESPRESSO input file:
```
&SYSTEM
  ibrav = 0, nat = 4, ntyp = 4
/
ATOMIC_SPECIES
Dy 162.50 Dy.upf
Mg 24.30 Mg.upf
In 114.82 In.upf
Cu 63.55 Cu.upf
CELL_PARAMETERS angstrom
0.0000 3.4947 3.4947
3.4947 0.0000 3.4947
3.4947 3.4947 0.0000
ATOMIC_POSITIONS angstrom
Dy 0.0000 0.0000 0.0000
Mg 3.4947 3.4947 3.4947
In 1.7474 1.7474 1.7474
Cu 5.2421 5.2421 5.2421
```